Entry 1:
Below is a geometry-optimized Th2GaSi3Pd4 structure, with properties calculated at the PBE level.

Lattice parameters (Å, degrees): 4.2714 4.2714 10.0685 90.00 90.00 90.00
Closest atoms and distances in Å follow each position.
Space group P-4m2 (No. 115)
One atom of each set of equivalent atoms:
Th 0.0000 0.5000 0.2461  6 Si 3.23-3.33, 8 Pd 3.27, 2 Ga 3.33
Ga 0.0000 0.0000 0.5000  4 Pd 2.50
Si 0.0000 0.5000 0.8689  5 Pd 2.42-2.51
Si 0.5000 0.5000 0.5000  4 Pd 2.50
Pd 0.0000 0.0000 0.0000  4 Si 2.51
Pd 0.0000 0.5000 0.6289  3 Si 2.42-2.50, 2 Ga 2.50
Pd 0.5000 0.5000 0.0000  4 Si 2.51

The uncorrected formation energy comes out at -899 meV per atom. The calculation puts the total magnetization at 0.00 μB/atom. The mass density is 9.435 g cm⁻³. For the total DFT energy (no corrections), the calculation gives -63.89 eV for the cell shown.



Entry 2:
Below is a geometry-optimized Dy14Ag51 structure, with properties calculated at the PBE level.

Lattice parameters (Å, degrees): 12.7868 12.7868 9.3537 90.00 90.00 120.00
Closest atoms and distances in Å follow each position.
Space group P-6 (No. 174)
One atom of each set of equivalent atoms:
Dy 0.0000 0.0000 0.1927  15 Ag 3.06-3.31
Dy 0.1129 0.7143 0.5000  12 Ag 3.02-3.26
Dy 0.1395 0.4639 0.0000  14 Ag 3.09-3.45
Dy 0.3838 0.1152 0.5000  14 Ag 3.10-3.38
Dy 0.4692 0.3283 0.0000  14 Ag 3.09-3.32
Ag 0.0018 0.8744 0.5000  6 Ag 2.79-2.98, 1 Dy 3.02
Ag 0.0595 0.8192 0.0000  8 Ag 2.72-2.97
Ag 0.0744 0.2599 0.2739  7 Ag 2.80-3.05, 1 Dy 3.06
Ag 0.1033 0.6600 0.1652  6 Ag 2.83-3.09, 2 Dy 3.12
Ag 0.1165 0.4899 0.3474  7 Ag 2.80-3.05
Ag 0.2342 0.0565 0.0000  8 Ag 2.72-2.95
Ag 0.2730 0.1952 0.2578  8 Ag 2.79-3.05, 1 Dy 3.10
Ag 0.3333 0.6667 0.1940  7 Ag 2.86-2.93, 3 Dy 3.12
Ag 0.3333 0.6667 0.5000  8 Ag 2.86-2.93, 3 Dy 3.17
Ag 0.4371 0.1024 0.1651  7 Ag 2.81-3.09, 2 Dy 3.09-3.12
Ag 0.4983 0.3828 0.3485  7 Ag 2.80-3.05
Ag 0.6667 0.3333 0.1945  7 Ag 2.86-2.96, 3 Dy 3.09
Ag 0.6667 0.3333 0.5000  8 Ag 2.86-2.90

The calculation puts the total magnetization at 0.00 μB/atom. The mass density is 9.749 g cm⁻³. As for the energy relative to the elements: -0.23 eV/atom. For the total DFT energy (no corrections), the calculation gives -224.82 eV for the cell shown.



Entry 3:
Below is a geometry-optimized WSeBr2N structure, with properties calculated at the PBE level.

Lattice parameters (Å, degrees): 5.2364 5.2364 4.8439 90.00 90.00 90.00
Closest atoms and distances in Å follow each position.
Space group P4/mmm (No. 123)
One atom of each set of equivalent atoms:
W 0.0000 0.0000 0.0000  2 Se 2.42, 4 Br 2.62
Se 0.0000 0.0000 0.5000  2 W 2.42
Br 0.0000 0.5000 0.0000  2 W 2.62
N 0.5000 0.5000 0.5000  8 Br 3.57, 4 Se 3.70

The uncorrected formation energy comes out at 1122 meV per atom. The calculation puts the total magnetization at 0.84 μB/atom. The mass density is 5.459 g cm⁻³. The value obtained for the relative energy among the computed polymorphs is 0.000 eV per atom. For the total DFT energy (no corrections), the calculation gives -22.50 eV for the cell shown.



Entry 4:
Below is a geometry-optimized PuSnAuO6 structure, with properties calculated at the PBE level.

Lattice parameters (Å, degrees): 5.5175 5.5175 9.6608 90.00 90.00 120.00
Closest atoms and distances in Å follow each position.
Space group P-31c (No. 163)
One atom of each set of equivalent atoms:
Pu 0.3333 0.6667 0.2500  6 O 2.08
Sn 0.3333 0.6667 0.7500  6 O 2.12
Au 0.0000 0.0000 0.0000  6 O 2.36
O 0.0055 0.3606 0.1343  1 Pu 2.08, 1 Sn 2.12

The uncorrected formation energy comes out at -1396 meV per atom. The calculation puts the total magnetization at 0.11 μB/atom. The mass density is 8.550 g cm⁻³. For the total DFT energy (no corrections), the calculation gives -127.85 eV for the cell shown.